(1)
## SrGd2Sn (PBE)

Data for crystalline SrGd2Sn at its relaxed geometry.

Cell lengths 4.9597, 5.0214, 5.0214 Å; angles 90.00, 90.00, 90.00 degrees
Closest atoms and distances in Å follow each position.
Fractional coordinates of all 4 atoms:
Sn 0.5000 0.0000 0.0000  8 Gd 3.53, 4 Sr 3.55
Gd 0.0000 0.5000 0.0000  4 Sn 3.53, 4 Sr 3.53, 4 Gd 3.55
Gd 0.0000 0.0000 0.5000  4 Sr 3.53, 4 Sn 3.53, 4 Gd 3.55
Sr 0.5000 0.5000 0.5000  8 Gd 3.53, 4 Sn 3.55

Output
space group	P4/mmm, No. 123
energy of formation from the pure elements	-306	meV per atom
spin magnetization	15.3	μB per formula unit
DOS at the Fermi energy	1.74	states/eV/atom


(2)
## LaGa2NiBi (PBE)

Data for crystalline LaGa2NiBi at its relaxed geometry.

Cell lengths 4.7536, 4.7536, 5.2094 Å; angles 90.00, 90.00, 90.00 degrees
Closest atoms and distances in Å follow each position.
Fractional coordinates of all 5 atoms:
La 0.0000 0.0000 0.5000  2 Ni 2.60
Bi 0.5000 0.5000 0.5000  4 La 3.36, 8 Ga 3.53
Ga 0.0000 0.5000 0.0000  2 Ni 2.38
Ga 0.5000 0.0000 0.0000  2 Ni 2.38
Ni 0.0000 0.0000 0.0000  4 Ga 2.38, 2 La 2.60

Output
space group	P4/mmm, No. 123
energy of formation from the pure elements	-490	meV per atom
spin magnetization	0.0	μB per formula unit
DOS at the Fermi energy	0.44	states/eV/atom


(3)
## CaCdP2O8 (PBE)

Data for crystalline CaCdP2O8 at its relaxed geometry.

Cell lengths 5.8982, 5.8982, 5.8982 Å; angles 106.05, 106.05, 116.55 degrees
Closest atoms and distances in Å follow each position.
Fractional coordinates of all 12 atoms:
O 0.8252 0.6519 0.1733  1 P 1.55
O 0.3481 0.1748 0.8267  1 P 1.55
O 0.4787 0.6519 0.8267  1 P 1.55
O 0.3481 0.5213 0.1733  1 P 1.55
O 0.9020 0.5753 0.6733  1 P 1.55
O 0.7712 0.0980 0.6733  1 P 1.55
O 0.4247 0.0980 0.3267  1 P 1.55
O 0.9020 0.2288 0.3267  1 P 1.55
P 0.7500 0.2500 0.5000  4 O 1.55
P 0.5000 0.5000 0.0000  4 O 1.55
Cd 0.2500 0.7500 0.5000  8 O 2.40-2.48
Ca 0.0000 0.0000 0.0000  8 O 2.40-2.48

Output
space group	I-4m2, No. 119
spin magnetization	2.0	μB per formula unit
DOS at the Fermi energy	0.74	states/eV/atom
formation energy (no corrections)	-1.9586	eV per atom


(4)
## NaPm2CuO4 (PBE)

Data for crystalline NaPm2CuO4 at its relaxed geometry.

Cell lengths 5.1089, 5.1089, 5.7634 Å; angles 115.91, 115.91, 90.80 degrees
Closest atoms and distances in Å follow each position.
Fractional coordinates of all 8 atoms:
O 0.2119 0.2119 0.5040  1 Na 2.29, 2 Pm 2.35, 1 Cu 2.45
O 0.7078 0.7078 0.4960  1 Na 2.29, 2 Pm 2.35, 1 Cu 2.45
O 0.9985 0.4994 0.0000  1 Cu 1.89
O 0.4994 0.9985 0.0000  1 Cu 1.89
Na 0.9283 0.9283 0.0000  4 O 2.23-2.29
Pm 0.1662 0.6662 0.5000  4 O 2.33-2.35
Pm 0.6662 0.1662 0.5000  4 O 2.33-2.35
Cu 0.3191 0.3191 0.0000  2 O 1.89

Output
space group	Fmm2, No. 42
spin magnetization	0.0	μB per formula unit
formation energy (no corrections)	-2.2800	eV per atom


(5)
## SrIrPt2 (PBE)

Data for crystalline SrIrPt2 at its relaxed geometry.

Cell lengths 2.9886, 2.9886, 8.3280 Å; angles 90.00, 90.00, 90.01 degrees
Closest atoms and distances in Å follow each position.
Fractional coordinates of all 4 atoms:
Pt 0.0000 0.0000 0.9940  4 Ir 2.72, 8 Pt 2.81-2.99
Pt 0.5000 0.5000 0.2169  8 Pt 2.81-2.99
Ir 0.5000 0.5000 0.7881  4 Pt 2.72, 4 Ir 2.99
Sr 0.0000 0.0000 0.5010  4 Sr 2.99, 4 Pt 3.17, 4 Ir 3.19

Output
space group	P4mm, No. 99
energy of formation from the pure elements	106	meV per atom
spin magnetization	0.0	μB per formula unit
DOS at the Fermi energy	1.34	states/eV/atom


(6)
## Mn2Zn12Co (PBE)

Data for crystalline Mn2Zn12Co at its relaxed geometry.

Cell lengths 4.9988, 4.9988, 19.8559 Å; angles 90.00, 90.00, 64.64 degrees
Closest atoms and distances in Å follow each position.
Fractional coordinates of all 30 atoms:
Zn 0.5000 0.5000 0.6891  5 Zn 2.44-2.67
Zn 0.7500 0.7500 0.6162  8 Zn 2.56-2.71
Zn 0.5000 0.5000 0.3109  5 Zn 2.44-2.67
Zn 0.7500 0.2500 0.0652  2 Co 2.48, 7 Zn 2.59-2.68
Zn 0.2500 0.2500 0.8859  8 Zn 2.57-2.68, 2 Co 2.63
Zn 0.0000 0.0000 0.3109  5 Zn 2.44-2.67
Zn 0.2500 0.7500 0.0652  2 Co 2.48, 7 Zn 2.59-2.68
Zn 0.7500 0.2500 0.4360  9 Zn 2.54-2.82
Zn 0.7500 0.7500 0.1141  8 Zn 2.57-2.68, 2 Co 2.63
Zn 0.2500 0.7500 0.9348  2 Co 2.48, 7 Zn 2.59-2.68
Zn 0.7500 0.2500 0.9348  2 Co 2.48, 7 Zn 2.59-2.68
Zn 0.0000 0.0000 0.1880  5 Zn 2.44-2.67
Zn 0.2500 0.2500 0.6162  8 Zn 2.56-2.71
Zn 0.7500 0.7500 0.3838  8 Zn 2.56-2.71
Zn 0.2500 0.2500 0.1141  8 Zn 2.57-2.68, 2 Co 2.63
Zn 0.0000 0.0000 0.8120  5 Zn 2.44-2.67
Zn 0.0000 0.0000 0.6891  5 Zn 2.44-2.67
Zn 0.2500 0.7500 0.4360  9 Zn 2.54-2.82
Zn 0.2500 0.7500 0.5640  9 Zn 2.54-2.82
Zn 0.5000 0.5000 0.8120  5 Zn 2.44-2.67
Zn 0.5000 0.5000 0.1880  5 Zn 2.44-2.67
Zn 0.7500 0.7500 0.8859  8 Zn 2.57-2.68, 2 Co 2.63
Zn 0.2500 0.2500 0.3838  8 Zn 2.56-2.71
Zn 0.7500 0.2500 0.5640  9 Zn 2.54-2.82
Co 0.5000 0.0000 0.0000  8 Zn 2.48-2.63, 2 Co 2.67
Co 0.0000 0.5000 0.0000  8 Zn 2.48-2.63, 2 Co 2.67
Mn 0.5000 0.0000 0.2482  2 Mn 2.67, 10 Zn 2.77-2.98
Mn 0.0000 0.5000 0.7518  2 Mn 2.67, 10 Zn 2.77-2.98
Mn 0.0000 0.5000 0.2482  2 Mn 2.67, 10 Zn 2.77-2.98
Mn 0.5000 0.0000 0.7518  2 Mn 2.67, 10 Zn 2.77-2.98

Output
space group	Pmmm, No. 47
energy of formation from the pure elements	82	meV per atom
spin magnetization	7.3	μB per formula unit
DOS at the Fermi energy	0.55	states/eV/atom


(7)
## Nd3HoHg5 (PBE)

Data for crystalline Nd3HoHg5 at its relaxed geometry.

Cell lengths 6.6682, 9.2795, 9.2796 Å; angles 120.00, 90.00, 90.00 degrees
Closest atoms and distances in Å follow each position.
Fractional coordinates of all 18 atoms:
Hg 0.0000 0.3333 0.6667  8 Hg 3.33-3.70, 6 Nd 3.37
Hg 0.5000 0.3333 0.6667  8 Hg 3.33-3.70, 6 Nd 3.37
Hg 0.2500 0.0000 0.7073  5 Nd 3.11-3.41, 2 Ho 3.19
Hg 0.2500 0.2928 0.2927  5 Nd 3.11-3.41, 2 Ho 3.19
Hg 0.2500 0.7073 0.0000  5 Nd 3.11-3.41, 2 Ho 3.19
Hg 0.5000 0.6667 0.3333  8 Hg 3.33-3.70, 6 Nd 3.37
Hg 0.7500 0.2927 0.0000  5 Nd 3.11-3.41, 2 Ho 3.19
Hg 0.0000 0.6667 0.3333  8 Hg 3.33-3.70, 6 Nd 3.37
Hg 0.7500 0.7072 0.7073  5 Nd 3.11-3.41, 2 Ho 3.19
Hg 0.7500 0.0000 0.2927  5 Nd 3.11-3.41, 2 Ho 3.19
Ho 0.0000 0.0000 0.0000  6 Hg 3.19, 2 Ho 3.33
Ho 0.5000 0.0000 0.0000  6 Hg 3.19, 2 Ho 3.33
Nd 0.7500 0.6280 0.0000  9 Hg 3.11-3.41
Nd 0.2500 0.3720 0.0000  9 Hg 3.11-3.41
Nd 0.7500 0.0000 0.6280  9 Hg 3.11-3.41
Nd 0.2500 0.0000 0.3720  9 Hg 3.11-3.41
Nd 0.7500 0.3719 0.3720  9 Hg 3.11-3.41
Nd 0.2500 0.6281 0.6280  9 Hg 3.11-3.41

Output
space group	P6_3/mcm, No. 193
energy of formation from the pure elements	-430	meV per atom
spin magnetization	0.0	μB per formula unit
DOS at the Fermi energy	1.00	states/eV/atom


(8)
## NdErCoPt (PBE)

Data for crystalline NdErCoPt at its relaxed geometry.

Cell lengths 4.9148, 4.9148, 4.9148 Å; angles 60.00, 60.00, 60.00 degrees
Closest atoms and distances in Å follow each position.
Fractional coordinates of all 4 atoms:
Nd 0.5000 0.5000 0.5000  4 Co 3.01, 4 Pt 3.01
Pt 0.7500 0.7500 0.7500  4 Er 3.01, 4 Nd 3.01
Er 0.0000 0.0000 0.0000  4 Pt 3.01, 4 Co 3.01
Co 0.2500 0.2500 0.2500  4 Er 3.01, 4 Nd 3.01

Output
space group	F-43m, No. 216
energy of formation from the pure elements	-569	meV per atom
spin magnetization	0.4	μB per formula unit
DOS at the Fermi energy	0.82	states/eV/atom


Number 8 is which compound?
NdErCoPt


Which of these has the highest spin magnetization?
SrGd2Sn


The highest spin magnetization belongs to which entry?
SrGd2Sn